The following is a DFT calculation (GGA+U) of an optimized crystal structure of Ni2F13.

a b c (Å): 4.7301 6.3557 7.1608
angles (deg): 65.52 78.82 77.05
Last column: nearest neighbours and their distance in Å.
Space group P-1 (No. 2)
Unique sites:
Ni 0.1302 0.1609 0.2222  6 F 1.76-1.87
F 0.0000 0.0000 0.5000  2 Ni 1.87
F 0.1023 0.9185 0.1636  1 Ni 1.79
F 0.1567 0.3969 0.2842  1 Ni 1.77
F 0.2439 0.7064 0.8325  1 Ni 1.82
F 0.2566 0.3102 0.9618  1 Ni 1.76
F 0.3488 0.5065 0.5358  1 F 1.42
F 0.4965 0.0221 0.2766  1 Ni 1.80

## Properties
- density (g cm⁻³) = 3.19
- final energy (eV per formula unit) = -39.869